[1]
## Y3ThAg4 (PBE)

Data for an optimized crystal structure of Y3ThAg4.

a b c (Å): 5.197 5.197 7.355
angles (deg): 90.00 90.00 90.00
Atoms (fractional coordinates):
Y: 0.000 0.000 0.000
Y: 0.000 0.000 0.500
Y: 0.500 0.500 0.000
Th: 0.500 0.500 0.500
Ag: 0.000 0.500 0.242
Ag: 0.000 0.500 0.758
Ag: 0.500 0.000 0.242
Ag: 0.500 0.000 0.758

The symmetry is No. 123. For the volume, the calculation gives 24.826 Å³ per atom. As for the formation energy: -1.86 eV/f.u.


[2]
## Li2YNi (PBE)

Data for an optimized crystal structure of Li2YNi.

a b c (Å): 9.597 9.597 9.597
angles (deg): 18.47 18.47 18.47
Atoms (fractional coordinates):
Li: 0.232 0.232 0.232
Li: 0.768 0.768 0.768
Y: 0.000 0.000 0.000
Ni: 0.500 0.500 0.500

The calculation puts the energy above the most stable polymorph in this dataset at 405 meV per atom. The symmetry is No. 166. For the volume, the calculation gives 19.367 Å³ per atom. As for the formation energy: 1.34 eV/f.u.


[3]
## AcTb7Er2 (PBE)

Data for an optimized crystal structure of AcTb7Er2.

a b c (Å): 9.071 9.071 5.763
angles (deg): 90.00 90.00 121.70
Atoms (fractional coordinates):
Ac: 0.000 0.000 0.000
Tb: 0.058 0.299 0.500
Tb: 0.232 0.768 0.000
Tb: 0.299 0.058 0.500
Tb: 0.500 0.500 0.500
Tb: 0.701 0.942 0.500
Tb: 0.768 0.232 0.000
Tb: 0.942 0.701 0.500
Er: 0.297 0.703 0.500
Er: 0.703 0.297 0.500

The calculation puts the energy above the most stable polymorph in this dataset at 616 meV per atom. The symmetry is No. 65. For the volume, the calculation gives 40.348 Å³ per atom. As for the formation energy: 6.70 eV/f.u.


[4]
## CdPBrCl2 (PBE)

Data for an optimized crystal structure of CdPBrCl2.

a b c (Å): 5.142 5.142 5.204
angles (deg): 90.00 90.00 90.00
Atoms (fractional coordinates):
Cd: 0.000 0.000 0.000
P: 0.500 0.500 0.000
Br: 0.500 0.500 0.500
Cl: 0.000 0.500 0.500
Cl: 0.500 0.000 0.500

The calculation puts the raw formation energy at 0.5822 eV per atom. The calculation puts the energy above the most stable polymorph in this dataset at 371 meV per atom. The symmetry is No. 123. For the volume, the calculation gives 27.517 Å³ per atom.


[5]
## As4PbW (PBE)

Data for an optimized crystal structure of As4PbW.

a b c (Å): 5.574 5.574 5.574
angles (deg): 60.00 60.00 60.00
Atoms (fractional coordinates):
As: 0.377 0.377 0.377
As: 0.377 0.377 0.868
As: 0.377 0.868 0.377
As: 0.868 0.377 0.377
Pb: 0.000 0.000 0.000
W: 0.750 0.750 0.750

The symmetry is No. 216. For the volume, the calculation gives 20.412 Å³ per atom. As for the formation energy: 5.51 eV/f.u.


[6]
## MnGe2W (PBE)

Data for an optimized crystal structure of MnGe2W.

a b c (Å): 4.393 4.393 4.393
angles (deg): 60.00 60.00 60.00
Atoms (fractional coordinates):
Mn: 0.000 0.000 0.000
Ge: 0.250 0.250 0.250
Ge: 0.750 0.750 0.750
W: 0.500 0.500 0.500

The calculation puts the energy above the most stable polymorph in this dataset at 71 meV per atom. The symmetry is No. 225. For the volume, the calculation gives 14.985 Å³ per atom. As for the formation energy: 1.10 eV/f.u.


[7]
## VCo3 (PBE)

Data for an optimized crystal structure of VCo3.

a b c (Å): 4.978 4.978 12.132
angles (deg): 90.00 90.00 120.00
Atoms (fractional coordinates):
V: 0.000 0.000 0.250
V: 0.000 0.000 0.750
V: 0.333 0.667 0.089
V: 0.333 0.667 0.411
V: 0.667 0.333 0.589
V: 0.667 0.333 0.911
Co: 0.009 0.505 0.750
Co: 0.166 0.332 0.583
Co: 0.166 0.332 0.917
Co: 0.166 0.834 0.583
Co: 0.166 0.834 0.917
Co: 0.332 0.166 0.083
Co: 0.332 0.166 0.417
Co: 0.495 0.505 0.750
Co: 0.495 0.991 0.750
Co: 0.505 0.009 0.250
Co: 0.505 0.495 0.250
Co: 0.668 0.834 0.583
Co: 0.668 0.834 0.917
Co: 0.834 0.166 0.083
Co: 0.834 0.166 0.417
Co: 0.834 0.668 0.083
Co: 0.834 0.668 0.417
Co: 0.991 0.495 0.250

The symmetry is No. 194. For the volume, the calculation gives 10.848 Å³ per atom. As for the formation energy: -0.69 eV/f.u.


[8]
## KTl2Rh2 (PBE)

Data for an optimized crystal structure of KTl2Rh2.

a b c (Å): 8.189 8.189 3.155
angles (deg): 90.00 90.00 90.00
Atoms (fractional coordinates):
K: 0.000 0.000 0.000
K: 0.500 0.500 0.000
Tl: 0.159 0.341 0.500
Tl: 0.341 0.841 0.500
Tl: 0.659 0.159 0.500
Tl: 0.841 0.659 0.500
Rh: 0.133 0.633 0.000
Rh: 0.367 0.133 0.000
Rh: 0.633 0.867 0.000
Rh: 0.867 0.367 0.000

The calculation puts the energy above the most stable polymorph in this dataset at 0 meV per atom. The symmetry is No. 127. For the volume, the calculation gives 21.155 Å³ per atom. As for the formation energy: 0.39 eV/f.u.


Repeat the fourth record exactly.
## CdPBrCl2 (PBE)

Data for an optimized crystal structure of CdPBrCl2.

a b c (Å): 5.142 5.142 5.204
angles (deg): 90.00 90.00 90.00
Atoms (fractional coordinates):
Cd: 0.000 0.000 0.000
P: 0.500 0.500 0.000
Br: 0.500 0.500 0.500
Cl: 0.000 0.500 0.500
Cl: 0.500 0.000 0.500

The calculation puts the raw formation energy at 0.5822 eV per atom. The calculation puts the energy above the most stable polymorph in this dataset at 371 meV per atom. The symmetry is No. 123. For the volume, the calculation gives 27.517 Å³ per atom.